Entry 1:
# Sb2CIN

Crystalline Sb2CIN at its relaxed geometry (PBE, the Alexandria database).

## Properties
Space group: P4/mmm, No. 123
DOS(E_F), states/eV per cell: 3.2
Uncorrected formation energy, kJ/mol of atoms: 189.14
Calculated volume, Å³/atom: 21.2
Electronic total energy, eV per atom: -3.51

POSCAR file:
```
Sb2CIN
1.0
-2.3079 -1.2130 4.0113
-3.3202 -2.2647 -2.5952
2.4809 -3.9158 0.2432
Sb I C N
2 1 1 1
Direct
0.5000 0.0000 0.0000
0.0000 0.5000 0.0000
0.0000 0.0000 0.5000
0.5000 0.5000 0.5000
0.0000 0.0000 0.0000
```

---

Entry 2:
# DyFe5P3

Crystalline DyFe5P3 at its relaxed geometry (PBE, the Alexandria database).

## Properties
Space group: Pnma, No. 62
DOS(E_F), states/eV per cell: 30.8
Calculated volume, Å³/atom: 12.3
Formation energy from the elements, kJ/mol of formula units: -644
Electronic total energy, eV per atom: -7.76

POSCAR file:
```
DyFe5P3
1.0
-2.8568 0.4088 -2.2389
-4.4222 -8.3400 4.1199
-5.3352 6.8058 8.0504
Dy Fe P
4 20 12
Direct
0.2500 0.9195 0.2043
0.7500 0.0805 0.7957
0.2500 0.5805 0.7043
0.7500 0.4195 0.2957
0.7500 0.9633 0.5674
0.2500 0.7079 0.9892
0.7500 0.1248 0.2982
0.7500 0.7803 0.8237
0.2500 0.0367 0.4326
0.2500 0.7921 0.4892
0.2500 0.6248 0.2018
0.7500 0.5367 0.0674
0.7500 0.5950 0.5095
0.7500 0.3752 0.7982
0.2500 0.0950 0.9905
0.2500 0.8752 0.7018
0.7500 0.2079 0.5108
0.2500 0.2197 0.1763
0.2500 0.4633 0.9326
0.7500 0.7197 0.3237
0.2500 0.4050 0.4905
0.7500 0.9050 0.0095
0.2500 0.2803 0.6763
0.7500 0.2921 0.0108
0.2500 0.8990 0.8968
0.2500 0.2661 0.8719
0.7500 0.5772 0.8873
0.7500 0.1010 0.1032
0.7500 0.7339 0.1281
0.2500 0.2339 0.3719
0.2500 0.0772 0.6127
0.7500 0.7661 0.6281
0.7500 0.3990 0.6032
0.2500 0.4228 0.1127
0.7500 0.9228 0.3873
0.2500 0.6010 0.3968
```

---

Entry 3:
# Na3La2NdSe6

Crystalline Na3La2NdSe6 at its relaxed geometry (PBE, the Alexandria database).

## Properties
Space group: C2/m, No. 12
DOS(E_F), states/eV per cell: 0.0
Uncorrected formation energy, kJ/mol of atoms: -167.08
Calculated volume, Å³/atom: 28.6
Electronic total energy, eV per atom: -5.02

POSCAR file:
```
Na3La2NdSe6
1.0
-2.0561 3.0995 2.2581
3.7912 -2.7394 7.2122
7.1510 4.8208 -4.2980
Se La Nd Na
6 2 1 3
Direct
0.9981 0.7605 0.9962
0.6624 0.0866 0.3249
0.0019 0.2395 0.0038
0.3376 0.9134 0.6751
0.6693 0.5756 0.3385
0.3307 0.4244 0.6615
0.8340 0.6692 0.6679
0.1660 0.3308 0.3321
0.5000 0.0000 0.0000
0.5000 0.5000 0.0000
0.8340 0.1681 0.6680
0.1660 0.8319 0.3320
```

---

Entry 4:
# Rb2LiNpBr6

Crystalline Rb2LiNpBr6 at its relaxed geometry (PBE, the Alexandria database).

## Properties
Space group: P2_1/c, No. 14
DOS(E_F), states/eV per cell: 10.9
Uncorrected formation energy, kJ/mol of atoms: -149.94
Calculated volume, Å³/atom: 35.0
Electronic total energy, eV per atom: -4.24

POSCAR file:
```
Rb2LiNpBr6
1.0
7.8147 0.0000 -0.0120
0.0000 8.0389 0.0000
0.0548 0.0000 11.1320
Rb Br Np Li
4 12 2 2
Direct
0.9863 0.0518 0.7503
0.4863 0.4482 0.2503
0.0137 0.9482 0.2497
0.5137 0.5518 0.7497
0.9330 0.5138 0.2553
0.7940 0.7875 0.5371
0.7101 0.2933 0.5319
0.4330 0.9862 0.7553
0.2899 0.7067 0.4681
0.0670 0.4862 0.7447
0.7899 0.7933 0.9681
0.7060 0.2875 0.9629
0.2101 0.2067 0.0319
0.2940 0.7125 0.0371
0.2060 0.2125 0.4629
0.5670 0.0138 0.2447
0.5000 0.0000 0.5000
0.0000 0.5000 0.0000
0.5000 0.0000 0.0000
0.0000 0.5000 0.5000
```

---

Entry 5:
# Na3Te2S4

Crystalline Na3Te2S4 at its relaxed geometry (PBE, the Alexandria database).

## Properties
Space group: C2/c, No. 15
DOS(E_F), states/eV per cell: 1.8
Uncorrected formation energy, kJ/mol of atoms: -53.45
Calculated volume, Å³/atom: 27.6
Electronic total energy, eV per atom: -3.53

POSCAR file:
```
Na3Te2S4
1.0
7.3986 1.0670 0.7639
1.4166 8.4293 -0.5382
1.4166 2.2065 8.1531
Na Te S
6 4 8
Direct
0.0208 0.9063 0.7806
0.2500 0.6118 0.3882
0.7500 0.3882 0.6118
0.9792 0.0937 0.2194
0.4792 0.2194 0.0937
0.5208 0.7806 0.9063
0.8906 0.5651 0.1798
0.3906 0.1798 0.5651
0.6094 0.8202 0.4350
0.1094 0.4349 0.8202
0.9037 0.6609 0.6873
0.4342 0.8903 0.2265
0.5658 0.1097 0.7735
0.0658 0.7735 0.1097
0.0963 0.3391 0.3127
0.4037 0.6873 0.6609
0.5963 0.3127 0.3391
0.9342 0.2265 0.8903
```

---

Entry 6:
# KTc2Ag2

Crystalline KTc2Ag2 at its relaxed geometry (PBE, the Alexandria database).

## Properties
Space group: P4/mbm, No. 127
DOS(E_F), states/eV per cell: 7.0
Calculated volume, Å³/atom: 20.3
Formation energy from the elements, kJ/mol of formula units: 304
Electronic total energy, eV per atom: -4.88

POSCAR file:
```
KTc2Ag2
1.0
8.6914 0.0000 0.0000
0.0000 8.6914 0.0000
0.0000 0.0000 2.6926
Ag Tc K
4 4 2
Direct
0.3050 0.8050 0.0000
0.1950 0.3050 0.0000
0.6950 0.1950 0.0000
0.8050 0.6950 0.0000
0.4081 0.0919 0.5000
0.9081 0.4081 0.5000
0.0919 0.5919 0.5000
0.5919 0.9081 0.5000
0.0000 0.0000 0.0000
0.5000 0.5000 0.0000
```

---

Entry 7:
# ZrHS3

Crystalline ZrHS3 at its relaxed geometry (PBE, the Alexandria database).

## Properties
Space group: Pm-3m, No. 221
DOS(E_F), states/eV per cell: 4.5
Calculated volume, Å³/atom: 14.1
Electronic total energy, eV per atom: -4.67

POSCAR file:
```
ZrHS3
1.0
4.1357 0.0000 0.0000
0.0000 4.1357 0.0000
0.0000 0.0000 4.1357
S Zr H
3 1 1
Direct
0.0000 0.5000 0.0000
0.0000 0.0000 0.5000
0.5000 0.0000 0.0000
0.5000 0.5000 0.5000
0.0000 0.0000 0.0000
```

---

Entry 8:
# KTe2Rh

Crystalline KTe2Rh at its relaxed geometry (PBE, the Alexandria database).

## Properties
Space group: R3m, No. 160
Uncorrected formation energy, kJ/mol of atoms: -60.03
Calculated volume, Å³/atom: 28.8
Electronic total energy, eV per atom: -4.31

POSCAR file:
```
KTe2Rh
1.0
4.1422 0.0000 0.0000
2.0711 3.5873 0.0000
2.0711 1.1958 7.7510
Te Rh K
2 1 1
Direct
0.2784 0.2784 0.1648
0.0553 0.0553 0.8342
0.6670 0.6670 0.9991
0.4994 0.4994 0.5019
```